## Li2ZnOs (SCAN)

Data for a crystal of Li2ZnOs relaxed with PBEsol.

Summary:
* energy: -89.69 eV per cell
* M_tot: 0.0 μB per cell
* energy relative to the elements: 0.121 eV/atom

abc: 3.564 3.564 4.052
angles: 90.00 90.00 90.00
Sites, in units of the cell vectors:
Li1 0.000 0.500 0.000
Li2 0.500 0.000 0.000
Os1 0.500 0.500 0.500
Zn1 0.000 0.000 0.500